w) # GdYRh

Crystalline GdYRh at its relaxed geometry (PBE, Alexandria via LeMat-Bulk).

The structure belongs to space group F-43m (No. 216); the cell edges are 6.836, 6.836 and 6.836 Å and the angles 90.00°, 90.00° and 90.00°. The asymmetric unit holds Gd at (0.000, 0.000, 0.000), Y at (0.000, 0.000, 0.500) and Rh at (0.250, 0.250, 0.250).

As for the mass density: 7.26 g cm⁻³. The density of states at the Fermi level comes out at 1.212 states/eV per atom.



x) # GdYRh

Crystalline GdYRh at its relaxed geometry (PBE, Alexandria via LeMat-Bulk).

The structure belongs to space group I4mm (No. 107); the cell edges are 3.483, 3.483 and 12.679 Å and the angles 90.00°, 90.00° and 90.00°. The asymmetric unit holds Gd at (0.000, 0.000, 0.000), Y at (0.000, 0.000, 0.261) and Rh at (0.000, 0.000, 0.632).

As for the mass density: 7.54 g cm⁻³. The density of states at the Fermi level comes out at 1.153 states/eV per atom.



Name the least stable of them. x).



w) # GdSc2Ru

Crystalline GdSc2Ru at its relaxed geometry (PBE, Alexandria via LeMat-Bulk).

The structure belongs to space group P4/mmm (No. 123); the cell edges are 3.269, 3.269 and 8.455 Å and the angles 90.00°, 90.00° and 90.00°. The asymmetric unit holds Gd at (0.000, 0.000, 0.000), Sc at (0.500, 0.500, 0.320) and Ru at (0.000, 0.000, 0.500).

As for the mass density: 6.40 g cm⁻³. The density of states at the Fermi level comes out at 0.933 states/eV per atom.



x) # GdSc2Ru

Crystalline GdSc2Ru at its relaxed geometry (PBE, Alexandria via LeMat-Bulk).

The structure belongs to space group R-3m (No. 166, hexagonal axes); the cell edges are 3.2602, 3.2602 and 30.6678 Å and the angles 90.00°, 90.00° and 120.00°. The asymmetric unit holds Gd at (0.0000, 0.0000, 0.0000), Sc at (0.0000, 0.0000, 0.1054) and Ru at (0.0000, 0.0000, 0.5000).

As for the mass density: 6.15 g cm⁻³. The density of states at the Fermi level comes out at 1.979 states/eV per atom.



Name the least stable of them. x).



w) # TbGdRu

Crystalline TbGdRu at its relaxed geometry (PBE, Alexandria via LeMat-Bulk).

The structure belongs to space group I4mm (No. 107); the cell edges are 3.418, 3.418 and 13.163 Å and the angles 90.00°, 90.00° and 90.00°. The asymmetric unit holds Tb at (0.000, 0.000, 0.000), Gd at (0.000, 0.000, 0.253) and Ru at (0.000, 0.000, 0.625).

As for the mass density: 9.01 g cm⁻³. The density of states at the Fermi level comes out at 0.554 states/eV per atom.



x) # TbGdRu

Crystalline TbGdRu at its relaxed geometry (PBE, Alexandria via LeMat-Bulk).

The structure belongs to space group F-43m (No. 216); the cell edges are 6.794, 6.794 and 6.794 Å and the angles 90.00°, 90.00° and 90.00°. The asymmetric unit holds Tb at (0.000, 0.000, 0.000), Gd at (0.000, 0.000, 0.500) and Ru at (0.250, 0.250, 0.250).

As for the mass density: 8.84 g cm⁻³. The density of states at the Fermi level comes out at 0.600 states/eV per atom.



Name the least stable of them. x).



w) # GdTm2Ru

Crystalline GdTm2Ru at its relaxed geometry (PBE, Alexandria via LeMat-Bulk).

The structure belongs to space group P4/mmm (No. 123); the cell edges are 3.396, 3.396 and 8.865 Å and the angles 90.00°, 90.00° and 90.00°. The asymmetric unit holds Gd at (0.000, 0.000, 0.000), Tm at (0.500, 0.500, 0.318) and Ru at (0.000, 0.000, 0.500).

As for the mass density: 9.68 g cm⁻³. The density of states at the Fermi level comes out at 1.120 states/eV per atom.



x) # GdTm2Ru

Crystalline GdTm2Ru at its relaxed geometry (PBE, Alexandria via LeMat-Bulk).

The structure belongs to space group R-3m (No. 166, hexagonal axes); the cell edges are 3.5240, 3.5240 and 29.5278 Å and the angles 90.00°, 90.00° and 120.00°. The asymmetric unit holds Gd at (0.0000, 0.0000, 0.0000), Tm at (0.0000, 0.0000, 0.2298) and Ru at (0.0000, 0.0000, 0.5000).

As for the mass density: 9.35 g cm⁻³. The density of states at the Fermi level comes out at 1.319 states/eV per atom.



Name the least stable of them. x).



w) # GdRu2W

Crystalline GdRu2W at its relaxed geometry (PBE, Alexandria via LeMat-Bulk).

The structure belongs to space group P4/mmm (No. 123); the cell edges are 3.119, 3.119 and 7.298 Å and the angles 90.00°, 90.00° and 90.00°. The asymmetric unit holds Gd at (0.000, 0.000, 0.000), Ru at (0.500, 0.500, 0.296) and W at (0.000, 0.000, 0.500).

As for the mass density: 12.71 g cm⁻³. The density of states at the Fermi level comes out at 1.153 states/eV per atom.



x) # GdRu2W

Crystalline GdRu2W at its relaxed geometry (PBE, Alexandria via LeMat-Bulk).

The structure belongs to space group Fm-3m (No. 225); the cell edges are 6.504, 6.504 and 6.504 Å and the angles 90.00°, 90.00° and 90.00°. The asymmetric unit holds Gd at (0.000, 0.000, 0.000), Ru at (0.250, 0.250, 0.250) and W at (0.000, 0.000, 0.500).

As for the mass density: 13.11 g cm⁻³. The density of states at the Fermi level comes out at 0.963 states/eV per atom.



Name the least stable of them. x).



w) # Gd2ZnRu

Crystalline Gd2ZnRu at its relaxed geometry (PBE, Alexandria via LeMat-Bulk).

The structure belongs to space group P4/mmm (No. 123); the cell edges are 3.473, 3.473 and 7.291 Å and the angles 90.00°, 90.00° and 90.00°. The asymmetric unit holds Gd at (0.000, 0.000, 0.231), Zn at (0.500, 0.500, 0.500) and Ru at (0.500, 0.500, 0.000).

As for the mass density: 9.08 g cm⁻³. The density of states at the Fermi level comes out at 0.727 states/eV per atom.



x) # Gd2ZnRu

Crystalline Gd2ZnRu at its relaxed geometry (PBE, Alexandria via LeMat-Bulk).

The structure belongs to space group Fm-3m (No. 225); the cell edges are 7.018, 7.018 and 7.018 Å and the angles 90.00°, 90.00° and 90.00°. The asymmetric unit holds Gd at (0.250, 0.250, 0.250), Zn at (0.000, 0.000, 0.000) and Ru at (0.000, 0.000, 0.500).

As for the mass density: 9.24 g cm⁻³. The density of states at the Fermi level comes out at 0.908 states/eV per atom.



Name the least stable of them. x).



w) # GdSeS

Crystalline GdSeS at its relaxed geometry (PBE, Alexandria via LeMat-Bulk).

The structure belongs to space group P3m1 (No. 156); the cell edges are 4.1845, 4.1845 and 5.8099 Å and the angles 90.00°, 90.00° and 120.00°. The asymmetric unit holds Gd at (0.0000, 0.0000, 0.0000), Se at (0.6667, 0.3333, 0.7276) and S at (0.3333, 0.6667, 0.2179).

As for the mass density: 5.06 g cm⁻³. The density of states at the Fermi level comes out at 1.049 states/eV per atom.



x) # GdSeS

Crystalline GdSeS at its relaxed geometry (PBE, Alexandria via LeMat-Bulk).

The structure belongs to space group I4mm (No. 107); the cell edges are 3.740, 3.740 and 9.522 Å and the angles 90.00°, 90.00° and 90.00°. The asymmetric unit holds Gd at (0.000, 0.000, 0.000), Se at (0.000, 0.000, 0.342) and S at (0.000, 0.000, 0.626).

As for the mass density: 6.69 g cm⁻³. The density of states at the Fermi level comes out at 0.868 states/eV per atom.



Name the least stable of them. w).



w) # YbGdS3

Crystalline YbGdS3 at its relaxed geometry (PBE, Alexandria via LeMat-Bulk).

The structure belongs to space group Pnma (No. 62); the cell edges are 7.437, 3.952 and 15.088 Å and the angles 90.00°, 90.00° and 90.00°. The asymmetric unit holds Yb at (0.124, 0.250, 0.215), Gd at (0.238, 0.750, 0.460), S at (0.015, 0.250, 0.398), S at (0.124, 0.750, 0.072) and S at (0.154, 0.250, 0.780).

As for the mass density: 6.39 g cm⁻³. The density of states at the Fermi level comes out at 2.452 states/eV per atom.



x) # YbGdS3

Crystalline YbGdS3 at its relaxed geometry (PBE, Alexandria via LeMat-Bulk).

The structure belongs to space group Pnma (No. 62); the cell edges are 10.871, 3.920 and 10.250 Å and the angles 90.00°, 90.00° and 90.00°. The asymmetric unit holds Yb at (0.004, 0.250, 0.186), Gd at (0.189, 0.250, 0.500), S at (0.044, 0.750, 0.371), S at (0.128, 0.250, 0.944) and S at (0.233, 0.750, 0.698).

As for the mass density: 6.49 g cm⁻³. The density of states at the Fermi level comes out at 2.345 states/eV per atom.



Name the least stable of them. w).



w) # GdSb3

Crystalline GdSb3 at its relaxed geometry (PBE, Alexandria via LeMat-Bulk).

The structure belongs to space group I4/mmm (No. 139); the cell edges are 4.486, 4.486 and 10.878 Å and the angles 90.00°, 90.00° and 90.00°. The asymmetric unit holds Gd at (0.000, 0.000, 0.000), Sb at (0.000, 0.000, 0.500) and Sb at (0.000, 0.500, 0.250).

As for the mass density: 7.93 g cm⁻³. The density of states at the Fermi level comes out at 0.570 states/eV per atom.



x) # GdSb3

Crystalline GdSb3 at its relaxed geometry (PBE, Alexandria via LeMat-Bulk).

The structure belongs to space group Pm-3m (No. 221); the cell edges are 4.779, 4.779 and 4.779 Å and the angles 90.00°, 90.00° and 90.00°. The asymmetric unit holds Gd at (0.000, 0.000, 0.000) and Sb at (0.000, 0.500, 0.500).

As for the mass density: 7.95 g cm⁻³. The density of states at the Fermi level comes out at 0.703 states/eV per atom.



y) # GdSb3

Crystalline GdSb3 at its relaxed geometry (PBE, Alexandria via LeMat-Bulk).

The structure belongs to space group Pmm2 (No. 25); the cell edges are 4.384, 6.203 and 4.557 Å and the angles 90.00°, 90.00° and 90.00°. The asymmetric unit holds Gd at (0.000, 0.000, 0.000), Sb at (0.000, 0.500, 0.874), Sb at (0.500, 0.000, 0.488) and Sb at (0.500, 0.500, 0.307).

As for the mass density: 7.00 g cm⁻³. The density of states at the Fermi level comes out at 0.460 states/eV per atom.



Name the least stable of them. x).



w) # Gd2ScSb

Crystalline Gd2ScSb at its relaxed geometry (PBE, Alexandria via LeMat-Bulk).

The structure belongs to space group Fm-3m (No. 225); the cell edges are 7.563, 7.563 and 7.563 Å and the angles 90.00°, 90.00° and 90.00°. The asymmetric unit holds Gd at (0.250, 0.250, 0.250), Sc at (0.000, 0.000, 0.000) and Sb at (0.000, 0.000, 0.500).

As for the mass density: 7.39 g cm⁻³. The density of states at the Fermi level comes out at 1.612 states/eV per atom.



x) # Gd2ScSb

Crystalline Gd2ScSb at its relaxed geometry (PBE, Alexandria via LeMat-Bulk).

The structure belongs to space group P4/mmm (No. 123); the cell edges are 4.732, 4.732 and 4.727 Å and the angles 90.00°, 90.00° and 90.00°. The asymmetric unit holds Gd at (0.000, 0.500, 0.000), Sc at (0.000, 0.000, 0.500) and Sb at (0.500, 0.500, 0.500).

As for the mass density: 7.55 g cm⁻³. The density of states at the Fermi level comes out at 1.459 states/eV per atom.



Name the least stable of them. w).



w) # GdSc2Sb

Crystalline GdSc2Sb at its relaxed geometry (PBE, Alexandria via LeMat-Bulk).

The structure belongs to space group R-3m (No. 166, hexagonal axes); the cell edges are 3.3885, 3.3885 and 32.6244 Å and the angles 90.00°, 90.00° and 120.00°. The asymmetric unit holds Gd at (0.0000, 0.0000, 0.0000), Sc at (0.0000, 0.0000, 0.0956) and Sb at (0.0000, 0.0000, 0.5000).

As for the mass density: 5.67 g cm⁻³. The density of states at the Fermi level comes out at 1.608 states/eV per atom.



x) # GdSc2Sb

Crystalline GdSc2Sb at its relaxed geometry (PBE, Alexandria via LeMat-Bulk).

The structure belongs to space group P4/mmm (No. 123); the cell edges are 4.657, 4.657 and 4.497 Å and the angles 90.00°, 90.00° and 90.00°. The asymmetric unit holds Gd at (0.000, 0.000, 0.000), Sc at (0.000, 0.500, 0.500) and Sb at (0.500, 0.500, 0.000).

As for the mass density: 6.28 g cm⁻³. The density of states at the Fermi level comes out at 1.410 states/eV per atom.



Name the least stable of them. w).



w) # Gd2SnSb

Crystalline Gd2SnSb at its relaxed geometry (PBE, Alexandria via LeMat-Bulk).

The structure belongs to space group R-3m (No. 166, hexagonal axes); the cell edges are 4.2821, 4.2821 and 23.2902 Å and the angles 90.00°, 90.00° and 120.00°. The asymmetric unit holds Gd at (0.0000, 0.0000, 0.2468), Sn at (0.0000, 0.0000, 0.0000) and Sb at (0.0000, 0.0000, 0.5000).

As for the mass density: 7.48 g cm⁻³. The density of states at the Fermi level comes out at 0.374 states/eV per atom.



x) # Gd2SnSb

Crystalline Gd2SnSb at its relaxed geometry (PBE, Alexandria via LeMat-Bulk).

The structure belongs to space group P4/mmm (No. 123); the cell edges are 3.579, 3.579 and 8.575 Å and the angles 90.00°, 90.00° and 90.00°. The asymmetric unit holds Gd at (0.000, 0.000, 0.245), Sn at (0.500, 0.500, 0.500) and Sb at (0.500, 0.500, 0.000).

As for the mass density: 8.39 g cm⁻³. The density of states at the Fermi level comes out at 0.699 states/eV per atom.



Name the least stable of them. x).



w) # SrGdSb2

Crystalline SrGdSb2 at its relaxed geometry (PBE, Alexandria via LeMat-Bulk).

The structure belongs to space group R-3m (No. 166, hexagonal axes); the cell edges are 4.5116, 4.5116 and 23.3168 Å and the angles 90.00°, 90.00° and 120.00°. The asymmetric unit holds Sr at (0.0000, 0.0000, 0.0000), Gd at (0.0000, 0.0000, 0.5000) and Sb at (0.0000, 0.0000, 0.2420).

As for the mass density: 5.92 g cm⁻³. The density of states at the Fermi level comes out at 0.824 states/eV per atom.



x) # SrGdSb2

Crystalline SrGdSb2 at its relaxed geometry (PBE, Alexandria via LeMat-Bulk).

The structure belongs to space group P4/mmm (No. 123); the cell edges are 3.818, 3.818 and 8.383 Å and the angles 90.00°, 90.00° and 90.00°. The asymmetric unit holds Sr at (0.000, 0.000, 0.000), Gd at (0.000, 0.000, 0.500) and Sb at (0.500, 0.500, 0.269).

As for the mass density: 6.64 g cm⁻³. The density of states at the Fermi level comes out at 0.713 states/eV per atom.



Name the least stable of them. x).



w) # TbGdSb

Crystalline TbGdSb at its relaxed geometry (PBE, Alexandria via LeMat-Bulk).

The structure belongs to space group P3m1 (No. 156); the cell edges are 5.0812, 5.0812 and 4.0266 Å and the angles 90.00°, 90.00° and 120.00°. The asymmetric unit holds Tb at (0.0000, 0.0000, 0.0000), Gd at (0.6667, 0.3333, 0.4696) and Sb at (0.3333, 0.6667, 0.7745).

As for the mass density: 8.08 g cm⁻³. The density of states at the Fermi level comes out at 0.967 states/eV per atom.



x) # TbGdSb

Crystalline TbGdSb at its relaxed geometry (PBE, Alexandria via LeMat-Bulk).

The structure belongs to space group I4mm (No. 107); the cell edges are 4.018, 4.018 and 10.531 Å and the angles 90.00°, 90.00° and 90.00°. The asymmetric unit holds Tb at (0.000, 0.000, 0.000), Gd at (0.000, 0.000, 0.309) and Sb at (0.000, 0.000, 0.651).

As for the mass density: 8.55 g cm⁻³. The density of states at the Fermi level comes out at 0.786 states/eV per atom.



Name the least stable of them. w).